Entry 1:
# Ce3TaSi6 (PBE, relaxed)
data_Ce3TaSi6
_space_group_name_H-M_alt 'R -3 c'
_space_group_IT_number 167
_space_group_name_Hall '-R 3 2"c'
_cell_length_a 11.0451
_cell_length_b 11.0451
_cell_length_c 11.1358
_cell_angle_alpha 90.00
_cell_angle_beta 90.00
_cell_angle_gamma 120.00
loop_
_atom_site_label
_atom_site_type_symbol
_atom_site_fract_x
_atom_site_fract_y
_atom_site_fract_z
_atom_site_occupancy
Ce1 Ce 0.0000 0.4346 0.2500 1
Ta1 Ta 0.0000 0.0000 0.0000 1
Si1 Si 0.0686 0.2099 0.3398 1
# **Raw total energy**: -6.76 eV per atom
# **Formation energy (no corrections)**: -0.5447 eV/atom
# **Fermi-level density of states**: 63.26 states/eV per cell
# **Magnetization**: 0.00 Bohr magnetons per cell

---

Entry 2:
# Sc2MnMo (PBE, relaxed)
data_Sc2MnMo
_space_group_name_H-M_alt 'F m -3 m'
_space_group_IT_number 225
_space_group_name_Hall '-F 4 2 3'
_cell_length_a 6.618
_cell_length_b 6.618
_cell_length_c 6.618
_cell_angle_alpha 90.00
_cell_angle_beta 90.00
_cell_angle_gamma 90.00
loop_
_atom_site_label
_atom_site_type_symbol
_atom_site_fract_x
_atom_site_fract_y
_atom_site_fract_z
_atom_site_occupancy
Sc1 Sc 0.250 0.250 0.250 1
Mn1 Mn 0.000 0.000 0.000 1
Mo1 Mo 0.000 0.000 0.500 1
# **Raw total energy**: -7.96 eV per atom
# **Fermi-level density of states**: 17.59 states/eV per cell
# **Magnetization**: 15.71 Bohr magnetons per cell
# **ΔE_f**: 0.83 eV per formula unit

---

Entry 3:
# NdErZnIr (PBE, relaxed)
data_NdErZnIr
_space_group_name_H-M_alt 'F -4 3 m'
_space_group_IT_number 216
_space_group_name_Hall 'F -4 2 3'
_cell_length_a 7.065
_cell_length_b 7.065
_cell_length_c 7.065
_cell_angle_alpha 90.00
_cell_angle_beta 90.00
_cell_angle_gamma 90.00
loop_
_atom_site_label
_atom_site_type_symbol
_atom_site_fract_x
_atom_site_fract_y
_atom_site_fract_z
_atom_site_occupancy
Nd1 Nd 0.000 0.000 0.000 1
Er1 Er 0.000 0.000 0.500 1
Zn1 Zn 0.250 0.250 0.250 1
Ir1 Ir 0.250 0.250 0.750 1
# **Raw total energy**: -5.42 eV per atom
# **Fermi-level density of states**: 9.82 states/eV per cell
# **Magnetization**: 0.00 Bohr magnetons per cell
# **ΔE_f**: -2.22 eV per formula unit

---

Entry 4:
# Pm2TmZn2 (PBE, relaxed)
data_Pm2TmZn2
_space_group_name_H-M_alt 'P 1 21/m 1'
_space_group_IT_number 11
_space_group_name_Hall '-P 2yb'
_cell_length_a 4.527
_cell_length_b 4.366
_cell_length_c 13.464
_cell_angle_alpha 90.00
_cell_angle_beta 99.23
_cell_angle_gamma 90.00
loop_
_atom_site_label
_atom_site_type_symbol
_atom_site_fract_x
_atom_site_fract_y
_atom_site_fract_z
_atom_site_occupancy
Pm1 Pm 0.054 0.250 0.111 1
Pm2 Pm 0.263 0.750 0.528 1
Tm1 Tm 0.364 0.250 0.729 1
Zn1 Zn 0.169 0.250 0.333 1
Zn2 Zn 0.474 0.250 0.948 1
# **Raw total energy**: -3.44 eV per atom
# **Fermi-level density of states**: 12.65 states/eV per cell
# **Magnetization**: 0.00 Bohr magnetons per cell
# **ΔE_f**: -0.68 eV per formula unit

---

Entry 5:
# PrGa6S8 (PBE, relaxed)
data_PrGa6S8
_space_group_name_H-M_alt 'R -3'
_space_group_IT_number 148
_space_group_name_Hall '-R 3'
_cell_length_a 10.0412
_cell_length_b 10.0412
_cell_length_c 11.0782
_cell_angle_alpha 90.00
_cell_angle_beta 90.00
_cell_angle_gamma 120.00
loop_
_atom_site_label
_atom_site_type_symbol
_atom_site_fract_x
_atom_site_fract_y
_atom_site_fract_z
_atom_site_occupancy
Pr1 Pr 0.0000 0.0000 0.0000 1
Ga1 Ga 0.0739 0.8567 0.5986 1
S1 S 0.0000 0.0000 0.2703 1
S2 S 0.0069 0.2940 0.9202 1
# **Raw total energy**: -4.29 eV per atom
# **Formation energy (no corrections)**: -0.5584 eV/atom
# **Fermi-level density of states**: 27.72 states/eV per cell
# **Magnetization**: 0.00 Bohr magnetons per cell

---

Entry 6:
# LaTe (PBE, relaxed)
data_LaTe
_space_group_name_H-M_alt 'P m -3 n'
_space_group_IT_number 223
_space_group_name_Hall '-P 4n 2 3'
_cell_length_a 8.860
_cell_length_b 8.860
_cell_length_c 8.860
_cell_angle_alpha 90.00
_cell_angle_beta 90.00
_cell_angle_gamma 90.00
loop_
_atom_site_label
_atom_site_type_symbol
_atom_site_fract_x
_atom_site_fract_y
_atom_site_fract_z
_atom_site_occupancy
La1 La 0.000 0.250 0.500 1
Te1 Te 0.000 0.500 0.250 1
# **Raw total energy**: -4.98 eV per atom
# **Formation energy (no corrections)**: -0.9456 eV/atom
# **Fermi-level density of states**: 17.41 states/eV per cell
# **Magnetization**: 0.00 Bohr magnetons per cell

---

Entry 7:
# Nd8Ge3Te4Br (PBE, relaxed)
data_Nd8Ge3Te4Br
_space_group_name_H-M_alt 'R -3 m'
_space_group_IT_number 166
_space_group_name_Hall '-R 3 2"'
_cell_length_a 8.7707
_cell_length_b 8.7707
_cell_length_c 21.9174
_cell_angle_alpha 90.00
_cell_angle_beta 90.00
_cell_angle_gamma 120.00
loop_
_atom_site_label
_atom_site_type_symbol
_atom_site_fract_x
_atom_site_fract_y
_atom_site_fract_z
_atom_site_occupancy
Nd1 Nd 0.0000 0.0000 0.2415 1
Nd2 Nd 0.0150 0.5075 0.7576 1
Ge1 Ge 0.0000 0.5000 0.5000 1
Te1 Te 0.0000 0.0000 0.0000 1
Te2 Te 0.0000 0.5000 0.0000 1
Br1 Br 0.0000 0.0000 0.5000 1
# **Raw total energy**: -5.42 eV per atom
# **Formation energy (no corrections)**: -1.2788 eV/atom
# **Fermi-level density of states**: 15.26 states/eV per cell
# **Magnetization**: 0.00 Bohr magnetons per cell

---

Entry 8:
# Tm3Ag2Pd (PBE, relaxed)
data_Tm3Ag2Pd
_space_group_name_H-M_alt 'P -3 m 1'
_space_group_IT_number 164
_space_group_name_Hall '-P 3 2"'
_cell_length_a 5.0019
_cell_length_b 5.0019
_cell_length_c 6.1608
_cell_angle_alpha 90.00
_cell_angle_beta 90.00
_cell_angle_gamma 120.00
loop_
_atom_site_label
_atom_site_type_symbol
_atom_site_fract_x
_atom_site_fract_y
_atom_site_fract_z
_atom_site_occupancy
Tm1 Tm 0.0000 0.0000 0.0000 1
Tm2 Tm 0.3333 0.6667 0.6550 1
Ag1 Ag 0.3333 0.6667 0.1570 1
Pd1 Pd 0.0000 0.0000 0.5000 1
# **Raw total energy**: -4.59 eV per atom
# **Fermi-level density of states**: 3.21 states/eV per cell
# **Magnetization**: 0.00 Bohr magnetons per cell
# **ΔE_f**: -3.21 eV per formula unit

---

Entry 9:
# Hf3BeP (PBE, relaxed)
data_Hf3BeP
_space_group_name_H-M_alt 'C 1 2/m 1'
_space_group_IT_number 12
_space_group_name_Hall '-C 2y'
_cell_length_a 18.827
_cell_length_b 3.471
_cell_length_c 5.389
_cell_angle_alpha 90.00
_cell_angle_beta 98.07
_cell_angle_gamma 90.00
loop_
_atom_site_label
_atom_site_type_symbol
_atom_site_fract_x
_atom_site_fract_y
_atom_site_fract_z
_atom_site_occupancy
Hf1 Hf 0.001 0.000 0.251 1
Hf2 Hf 0.130 0.500 0.067 1
Hf3 Hf 0.189 0.000 0.590 1
Be1 Be 0.235 0.000 0.106 1
P1 P 0.086 0.500 0.545 1
# **Raw total energy**: -8.38 eV per atom
# **Fermi-level density of states**: 14.89 states/eV per cell
# **Magnetization**: 0.00 Bohr magnetons per cell
# **ΔE_f**: -2.89 eV per formula unit

---

Entry 10:
# DyTm4Pu (PBE, relaxed)
data_DyTm4Pu
_space_group_name_H-M_alt 'C m c 21'
_space_group_IT_number 36
_space_group_name_Hall 'C 2c -2'
_cell_length_a 3.486
_cell_length_b 18.120
_cell_length_c 11.270
_cell_angle_alpha 90.00
_cell_angle_beta 90.00
_cell_angle_gamma 90.00
loop_
_atom_site_label
_atom_site_type_symbol
_atom_site_fract_x
_atom_site_fract_y
_atom_site_fract_z
_atom_site_occupancy
Dy1 Dy 0.000 0.222 0.000 1
Tm1 Tm 0.000 0.001 0.755 1
Tm2 Tm 0.000 0.111 0.506 1
Tm3 Tm 0.000 0.333 0.753 1
Tm4 Tm 0.000 0.444 0.503 1
Pu1 Pu 0.000 0.334 0.252 1
# **Raw total energy**: -6.09 eV per atom
# **Fermi-level density of states**: 49.20 states/eV per cell
# **Magnetization**: 23.93 Bohr magnetons per cell
# **ΔE_f**: 0.25 eV per formula unit

---

Entry 11:
# Tm2CoCu (PBE, relaxed)
data_Tm2CoCu
_space_group_name_H-M_alt 'P 1 21/m 1'
_space_group_IT_number 11
_space_group_name_Hall '-P 2yb'
_cell_length_a 5.492
_cell_length_b 4.033
_cell_length_c 7.621
_cell_angle_alpha 90.00
_cell_angle_beta 110.86
_cell_angle_gamma 90.00
loop_
_atom_site_label
_atom_site_type_symbol
_atom_site_fract_x
_atom_site_fract_y
_atom_site_fract_z
_atom_site_occupancy
Tm1 Tm 0.213 0.250 0.438 1
Tm2 Tm 0.223 0.250 0.921 1
Co1 Co 0.360 0.750 0.717 1
Cu1 Cu 0.354 0.750 0.213 1
# **Raw total energy**: -5.31 eV per atom
# **Fermi-level density of states**: 7.06 states/eV per cell
# **Magnetization**: 0.00 Bohr magnetons per cell
# **ΔE_f**: -1.11 eV per formula unit

---

Entry 12:
# LiAgAs (PBE, relaxed)
data_LiAgAs
_space_group_name_H-M_alt 'I 4/m m m'
_space_group_IT_number 139
_space_group_name_Hall '-I 4 2'
_cell_length_a 4.136
_cell_length_b 4.136
_cell_length_c 13.002
_cell_angle_alpha 90.00
_cell_angle_beta 90.00
_cell_angle_gamma 90.00
loop_
_atom_site_label
_atom_site_type_symbol
_atom_site_fract_x
_atom_site_fract_y
_atom_site_fract_z
_atom_site_occupancy
Li1 Li 0.000 0.000 0.163 1
Ag1 Ag 0.000 0.500 0.000 1
As1 As 0.000 0.000 0.366 1
# **Raw total energy**: -3.39 eV per atom
# **Fermi-level density of states**: 3.13 states/eV per cell
# **Magnetization**: 0.00 Bohr magnetons per cell
# **ΔE_f**: -0.75 eV per formula unit

---

Entry 13:
# K2PuCuO6 (PBE, relaxed)
data_K2PuCuO6
_space_group_name_H-M_alt 'R -3 m'
_space_group_IT_number 166
_space_group_name_Hall '-R 3 2"'
_cell_length_a 5.9120
_cell_length_b 5.9120
_cell_length_c 29.4927
_cell_angle_alpha 90.00
_cell_angle_beta 90.00
_cell_angle_gamma 120.00
loop_
_atom_site_label
_atom_site_type_symbol
_atom_site_fract_x
_atom_site_fract_y
_atom_site_fract_z
_atom_site_occupancy
K1 K 0.0000 0.0000 0.1344 1
K2 K 0.0000 0.0000 0.2866 1
Pu1 Pu 0.0000 0.0000 0.4084 1
Cu1 Cu 0.0000 0.0000 0.0000 1
Cu2 Cu 0.0000 0.0000 0.5000 1
O1 O 0.0036 0.5018 0.2941 1
O2 O 0.0356 0.5178 0.1209 1
# **Raw total energy**: -6.68 eV per atom
# **Formation energy (no corrections)**: -1.6451 eV/atom
# **Fermi-level density of states**: 30.17 states/eV per cell
# **Magnetization**: 6.34 Bohr magnetons per cell

---

Entry 14:
# MgSnF5 (PBE, relaxed)
data_MgSnF5
_space_group_name_H-M_alt 'C 1 2/c 1'
_space_group_IT_number 15
_space_group_name_Hall '-C 2yc'
_cell_length_a 9.045
_cell_length_b 6.549
_cell_length_c 8.169
_cell_angle_alpha 90.00
_cell_angle_beta 117.39
_cell_angle_gamma 90.00
loop_
_atom_site_label
_atom_site_type_symbol
_atom_site_fract_x
_atom_site_fract_y
_atom_site_fract_z
_atom_site_occupancy
Mg1 Mg 0.000 0.013 0.250 1
Sn1 Sn 0.000 0.500 0.000 1
F1 F 0.000 0.364 0.250 1
F2 F 0.026 0.187 0.942 1
F3 F 0.238 0.050 0.351 1
# **Raw total energy**: -4.87 eV per atom
# **Formation energy (no corrections)**: -2.7373 eV/atom
# **Fermi-level density of states**: 6.23 states/eV per cell
# **Magnetization**: 0.00 Bohr magnetons per cell

---

Entry 15:
# Ni2AgPd8 (PBE, relaxed)
data_Ni2AgPd8
_space_group_name_H-M_alt 'C 1 2/m 1'
_space_group_IT_number 12
_space_group_name_Hall '-C 2y'
_cell_length_a 14.002
_cell_length_b 3.926
_cell_length_c 6.250
_cell_angle_alpha 90.00
_cell_angle_beta 106.69
_cell_angle_gamma 90.00
loop_
_atom_site_label
_atom_site_type_symbol
_atom_site_fract_x
_atom_site_fract_y
_atom_site_fract_z
_atom_site_occupancy
Ni1 Ni 0.227 0.000 0.137 1
Ag1 Ag 0.000 0.500 0.500 1
Pd1 Pd 0.049 0.000 0.225 1
Pd2 Pd 0.100 0.500 0.966 1
Pd3 Pd 0.145 0.000 0.704 1
Pd4 Pd 0.184 0.500 0.418 1
# **Raw total energy**: -5.06 eV per atom
# **Fermi-level density of states**: 34.66 states/eV per cell
# **Magnetization**: 8.25 Bohr magnetons per cell
# **ΔE_f**: 0.28 eV per formula unit

---

Entry 16:
# DyAlGe2 (PBE, relaxed)
data_DyAlGe2
_space_group_name_H-M_alt 'P 4/m m m'
_space_group_IT_number 123
_space_group_name_Hall '-P 4 2'
_cell_length_a 4.430
_cell_length_b 4.430
_cell_length_c 4.031
_cell_angle_alpha 90.00
_cell_angle_beta 90.00
_cell_angle_gamma 90.00
loop_
_atom_site_label
_atom_site_type_symbol
_atom_site_fract_x
_atom_site_fract_y
_atom_site_fract_z
_atom_site_occupancy
Dy1 Dy 0.000 0.000 0.000 1
Al1 Al 0.500 0.500 0.000 1
Ge1 Ge 0.000 0.500 0.500 1
# **Raw total energy**: -4.81 eV per atom
# **Fermi-level density of states**: 2.15 states/eV per cell
# **Magnetization**: 0.00 Bohr magnetons per cell
# **ΔE_f**: -1.68 eV per formula unit

---

Entry 17:
# KGaP2Pt4 (PBE, relaxed)
data_KGaP2Pt4
_space_group_name_H-M_alt 'P 4/m m m'
_space_group_IT_number 123
_space_group_name_Hall '-P 4 2'
_cell_length_a 3.989
_cell_length_b 3.989
_cell_length_c 9.946
_cell_angle_alpha 90.00
_cell_angle_beta 90.00
_cell_angle_gamma 90.00
loop_
_atom_site_label
_atom_site_type_symbol
_atom_site_fract_x
_atom_site_fract_y
_atom_site_fract_z
_atom_site_occupancy
K1 K 0.000 0.000 0.000 1
Ga1 Ga 0.000 0.000 0.500 1
P1 P 0.500 0.500 0.199 1
Pt1 Pt 0.000 0.500 0.326 1
# **Raw total energy**: -5.46 eV per atom
# **Fermi-level density of states**: 2.80 states/eV per cell
# **Magnetization**: 0.00 Bohr magnetons per cell
# **ΔE_f**: -4.53 eV per formula unit